The following is a GGA-PBE calculation of a geometry-optimized Cu4TcAu structure, from Alexandria via LeMat-Bulk.

Results
For the total energy, the calculation gives -4.76 eV/atom. The calculation puts the magnetic moment at 2.3 μB per formula unit.

Lattice parameters (Å, degrees): 6.861 6.861 6.861 90.00 90.00 90.00
Space group F-43m (No. 216)
Symmetry-distinct sites (fractional):
1 Cu 0.125 0.125 0.125 [16 per cell]
2 Tc 0.250 0.250 0.750 [4 per cell]
3 Au 0.000 0.000 0.500 [4 per cell]